No. 1
The following is a PBEsol calculation of a geometry-optimized ZrPtRh2 structure, from Alexandria via LeMat-Bulk.

Values from the calculation:
DOS(E_F) ... 4.45 states/eV/f.u.
Energy of formation from the pure elements ... -275 kJ/mol of formula units
Size of the total moment ... 0.003 μB per cell
E ... -8.795 eV/atom

Cell: 3.9239 3.9239 7.9435 Å, 90.00 90.00 90.00°
Space group I-4m2 (No. 119)
Inequivalent atoms, fractional coordinates:
Zr 0.0000 0.0000 0.0000 x2
Pt 0.0000 0.5000 0.2500 x2
Rh 0.0000 0.0000 0.5000 x2
Rh 0.0000 0.5000 0.7500 x2



No. 2
The following is a PBEsol calculation of a geometry-optimized ZrPtRh2 structure, from Alexandria via LeMat-Bulk.

Values from the calculation:
DOS(E_F) ... 3.90 states/eV/f.u.
Energy of formation from the pure elements ... -185 kJ/mol of formula units
Size of the total moment ... 0.000 μB per cell
E ... -8.562 eV/atom

Cell: 3.3397 3.3397 5.6172 Å, 90.00 90.00 90.00°
Space group P4/mmm (No. 123)
Inequivalent atoms, fractional coordinates:
Zr 0.0000 0.0000 0.0000 x1
Pt 0.0000 0.0000 0.5000 x1
Rh 0.5000 0.5000 0.2624 x2



No. 3
The following is a PBEsol calculation of a geometry-optimized Zr2PtRh structure, from Alexandria via LeMat-Bulk.

Values from the calculation:
DOS(E_F) ... 3.78 states/eV/f.u.
Energy of formation from the pure elements ... -279 kJ/mol of formula units
Size of the total moment ... 0.000 μB per cell
E ... -9.043 eV/atom

Cell: 9.7664 3.1030 4.7589 Å, 90.00 99.73 90.00°
Space group Cm (No. 8)
Inequivalent atoms, fractional coordinates:
Zr 0.0000 0.0000 0.0000 x2
Zr 0.2260 0.0000 0.6404 x2
Pt 0.2412 0.5000 0.1568 x2
Rh 0.4787 0.0000 0.4795 x2



No. 4
The following is a PBEsol calculation of a geometry-optimized Zr2PtRh structure, from Alexandria via LeMat-Bulk.

Values from the calculation:
DOS(E_F) ... 2.87 states/eV/f.u.
Energy of formation from the pure elements ... -362 kJ/mol of formula units
Size of the total moment ... 0.000 μB per cell
E ... -9.258 eV/atom

Cell: 4.2784 3.3404 10.1447 Å, 90.00 90.00 90.00°
Space group Amm2 (No. 38)
Inequivalent atoms, fractional coordinates:
Zr 0.0000 0.0000 0.0000 x2
Zr 0.5000 0.0000 0.2858 x2
Pt 0.0000 0.0000 0.7298 x2
Rh 0.5000 0.0000 0.5465 x2



No. 5
The following is a PBEsol calculation of a geometry-optimized Ru3Pt structure, from Alexandria via LeMat-Bulk.

Values from the calculation:
DOS(E_F) ... 3.99 states/eV/f.u.
Energy of formation from the pure elements ... 21 kJ/mol of formula units
Size of the total moment ... 0.001 μB per cell
E ... -9.316 eV/atom

Cell: 2.7055 8.6273 4.6916 Å, 90.00 90.00 90.00°
Space group Imm2 (No. 44)
Inequivalent atoms, fractional coordinates:
Ru 0.0000 0.0000 0.0000 x2
Ru 0.0000 0.2535 0.3347 x4
Pt 0.0000 0.5000 0.9977 x2



No. 6
The following is a PBEsol calculation of a geometry-optimized RuPt5 structure, from Alexandria via LeMat-Bulk.

Values from the calculation:
DOS(E_F) ... 10.78 states/eV/f.u.
Energy of formation from the pure elements ... 52 kJ/mol of formula units
Size of the total moment ... 0.023 μB per cell
E ... -7.408 eV/atom

Cell: 4.5837 2.7225 14.2005 Å, 90.00 90.00 90.00°
Space group Amm2 (No. 38)
Inequivalent atoms, fractional coordinates:
Ru 0.0000 0.0000 0.0000 x2
Pt 0.0000 0.0000 0.3380 x2
Pt 0.0000 0.0000 0.6640 x2
Pt 0.5000 0.0000 0.1091 x2
Pt 0.5000 0.0000 0.4450 x2
Pt 0.5000 0.0000 0.7762 x2



No. 7
The following is a PBEsol calculation of a geometry-optimized RuPt3 structure, from Alexandria via LeMat-Bulk.

Values from the calculation:
DOS(E_F) ... 6.21 states/eV/f.u.
Energy of formation from the pure elements ... 27 kJ/mol of formula units
Size of the total moment ... 0.001 μB per cell
E ... -7.695 eV/atom

Cell: 2.7311 2.7311 9.0582 Å, 90.00 90.00 120.00°
Space group P-6m2 (No. 187)
Inequivalent atoms, fractional coordinates:
Ru 0.0000 0.0000 0.0000 x1
Pt 0.0000 0.0000 0.5000 x1
Pt 0.3333 0.6667 0.2399 x2



No. 8
The following is a PBEsol calculation of a geometry-optimized Ru2Pt structure, from Alexandria via LeMat-Bulk.

Values from the calculation:
DOS(E_F) ... 2.24 states/eV/f.u.
Energy of formation from the pure elements ... 3 kJ/mol of formula units
Size of the total moment ... 0.000 μB per cell
E ... -9.093 eV/atom

Cell: 2.6928 3.7820 8.1533 Å, 90.00 90.00 90.00°
Space group Immm (No. 71)
Inequivalent atoms, fractional coordinates:
Ru 0.0000 0.0000 0.1747 x4
Pt 0.0000 0.0000 0.5000 x2



No. 9
The following is a PBEsol calculation of a geometry-optimized RuPt3 structure, from Alexandria via LeMat-Bulk.

Values from the calculation:
DOS(E_F) ... 4.66 states/eV/f.u.
Energy of formation from the pure elements ... -5 kJ/mol of formula units
Size of the total moment ... 0.002 μB per cell
E ... -7.779 eV/atom

Cell: 2.7272 2.7272 7.8142 Å, 90.00 90.00 90.00°
Space group P4/mmm (No. 123)
Inequivalent atoms, fractional coordinates:
Ru 0.0000 0.0000 0.0000 x1
Pt 0.0000 0.0000 0.5000 x1
Pt 0.5000 0.5000 0.2382 x2



No. 10
The following is a PBEsol calculation of a geometry-optimized Ru2Pt structure, from Alexandria via LeMat-Bulk.

Values from the calculation:
DOS(E_F) ... 3.09 states/eV/f.u.
Energy of formation from the pure elements ... 17 kJ/mol of formula units
Size of the total moment ... 0.000 μB per cell
E ... -9.044 eV/atom

Cell: 9.8867 2.7117 6.3937 Å, 90.00 104.24 90.00°
Space group Cm (No. 8)
Inequivalent atoms, fractional coordinates:
Ru 0.0000 0.0000 0.0000 x2
Ru 0.0548 0.0000 0.6144 x2
Ru 0.2195 0.5000 0.9476 x2
Ru 0.3918 0.0000 0.2709 x2
Pt 0.1644 0.5000 0.3295 x2
Pt 0.3361 0.0000 0.6727 x2



No. 11
The following is a PBEsol calculation of a geometry-optimized RuPt3 structure, from Alexandria via LeMat-Bulk.

Values from the calculation:
DOS(E_F) ... 5.30 states/eV/f.u.
Energy of formation from the pure elements ... 9 kJ/mol of formula units
Size of the total moment ... 0.001 μB per cell
E ... -7.743 eV/atom

Cell: 9.0394 2.7476 4.7532 Å, 90.00 99.95 90.00°
Space group C2/m (No. 12)
Inequivalent atoms, fractional coordinates:
Ru 0.0000 0.0000 0.0000 x2
Pt 0.0000 0.5000 0.5000 x2
Pt 0.2460 0.5000 0.2433 x4



No. 12
The following is a PBEsol calculation of a geometry-optimized Ru3Pt structure, from Alexandria via LeMat-Bulk.

Values from the calculation:
DOS(E_F) ... 3.66 states/eV/f.u.
Energy of formation from the pure elements ... 18 kJ/mol of formula units
Size of the total moment ... 0.000 μB per cell
E ... -9.323 eV/atom

Cell: 4.6644 8.7204 5.3851 Å, 90.00 90.00 90.00°
Space group Pnma (No. 62)
Inequivalent atoms, fractional coordinates:
Ru 0.0820 0.2500 0.1288 x4
Ru 0.2452 0.5028 0.8751 x8
Pt 0.0858 0.2500 0.6223 x4



Question: DOS(E_F) of number 8 (Ru2Pt)?
Answer: 2.24 states/eV/f.u.



Repeat the eleventh record exactly.
The following is a PBEsol calculation of a geometry-optimized RuPt3 structure, from Alexandria via LeMat-Bulk.

Values from the calculation:
DOS(E_F) ... 5.30 states/eV/f.u.
Energy of formation from the pure elements ... 9 kJ/mol of formula units
Size of the total moment ... 0.001 μB per cell
E ... -7.743 eV/atom

Cell: 9.0394 2.7476 4.7532 Å, 90.00 99.95 90.00°
Space group C2/m (No. 12)
Inequivalent atoms, fractional coordinates:
Ru 0.0000 0.0000 0.0000 x2
Pt 0.0000 0.5000 0.5000 x2
Pt 0.2460 0.5000 0.2433 x4



Question: The lowest DOS(E_F) belongs to which entry?
Answer: number 8



Question: What is the energy of formation from the pure elements in the fourth record?
Answer: -362 kJ/mol of formula units